Entry from Alexandria via LeMat-Bulk: a relaxed Ac2CdIn4Pt3 crystal (GGA-PBE).

Values from the calculation:
Calculated total energy = -4.491 eV per atom
Volume = 246.81 Å³/cell
ΔE_f = -0.670 eV per atom

Cell lengths 4.5762, 4.5762, 11.7857 Å; angles 90.00, 90.00, 90.00 degrees
Last column: nearest neighbours and their distance in Å.
Space group P-4m2 (No. 115)
Unique sites:
Ac (0.0000, 0.5000, 0.2408) (multiplicity 2)  6 Pt 3.46-3.82, 8 In 3.54-3.65, 2 Cd 3.82
Cd (0.0000, 0.0000, 0.5000) (multiplicity 1)  4 In 2.80
In (0.0000, 0.0000, 0.0000) (multiplicity 1)  4 Pt 2.79
In (0.0000, 0.5000, 0.6364) (multiplicity 2)  3 Pt 2.68-2.80, 2 Cd 2.80
In (0.5000, 0.5000, 0.0000) (multiplicity 1)  4 Pt 2.79
Pt (0.0000, 0.5000, 0.8642) (multiplicity 2)  5 In 2.68-2.79
Pt (0.5000, 0.5000, 0.5000) (multiplicity 1)  4 In 2.80



Entry from Alexandria via LeMat-Bulk: a relaxed Er2CdPt crystal (GGA-PBE).

Values from the calculation:
Calculated total energy = -4.770 eV per atom
Volume = 364.61 Å³/cell
ΔE_f = -0.750 eV per atom

Cell lengths 7.1440, 7.1440, 7.1440 Å; angles 90.00, 90.00, 90.00 degrees
Last column: nearest neighbours and their distance in Å.
Space group Fm-3m (No. 225)
Unique sites:
Er (0.2500, 0.2500, 0.2500) (multiplicity 8)  4 Pt 3.09, 4 Cd 3.09
Cd (0.0000, 0.0000, 0.0000) (multiplicity 4)  8 Er 3.09
Pt (0.0000, 0.0000, 0.5000) (multiplicity 4)  8 Er 3.09



Entry from Alexandria via LeMat-Bulk: a relaxed NiC3Se crystal (GGA-PBE).

Values from the calculation:
Calculated total energy = -4.949 eV per atom
Volume = 56.51 Å³/cell
Formation energy without anion corrections = 2.439 eV/atom

Cell lengths 3.8374, 3.8374, 3.8374 Å; angles 90.00, 90.00, 90.00 degrees
Last column: nearest neighbours and their distance in Å.
Space group Pm-3m (No. 221)
Unique sites:
Ni (0.0000, 0.0000, 0.0000) (multiplicity 1)  6 C 1.92
C (0.0000, 0.0000, 0.5000) (multiplicity 3)  2 Ni 1.92
Se (0.5000, 0.5000, 0.5000) (multiplicity 1)  12 C 2.71



Entry from Alexandria via LeMat-Bulk: a relaxed Tb6DyHo3 crystal (GGA-PBE).

Values from the calculation:
Calculated total energy = -4.463 eV per atom
Volume = 1279.27 Å³/cell
ΔE_f = 0.149 eV per atom

Cell lengths 10.9582, 18.9247, 6.1687 Å; angles 90.00, 90.00, 90.00 degrees
Last column: nearest neighbours and their distance in Å.
Space group Cmc2_1 (No. 36)
Unique sites:
Tb (0.0000, 0.0458, 0.0000) (multiplicity 4)  1 Dy 3.31, 4 Ho 3.50-3.59, 2 Tb 3.54
Tb (0.0000, 0.2803, 0.2713) (multiplicity 4)  4 Tb 3.20-3.38, 1 Ho 3.34, 2 Dy 3.37-3.43
Tb (0.1650, 0.4546, 0.3785) (multiplicity 8)  4 Ho 3.39-3.62, 5 Tb 3.41-3.75
Tb (0.2439, 0.2902, 0.5538) (multiplicity 8)  5 Tb 3.20-3.44, 2 Ho 3.26-3.55, 2 Dy 3.29-3.41
Dy (0.0000, 0.2047, 0.7763) (multiplicity 4)  3 Ho 3.25-3.51, 7 Tb 3.29-3.43
Ho (0.0000, 0.3889, 0.8444) (multiplicity 4)  7 Tb 3.34-3.72, 1 Dy 3.51, 2 Ho 3.68
Ho (0.1699, 0.1100, 0.4573) (multiplicity 8)  1 Dy 3.25, 6 Tb 3.26-3.59